[1]
A relaxed structure of RbVTe3. Source: Alexandria via LeMat-Bulk, functional GGA-PBE.

* space-group type: Pm-3m
* formation energy without anion corrections: 1.3891 eV/atom
* relative energy among the computed polymorphs: 9.40 eV/f.u.
* calculated density: 3.49 g cm⁻³
* volume: 247 Å³ per cell
* electronic total energy: -2.5131 eV/atom
* N(E_F): 12.34 states/eV/f.u.
* total moment: 0.110 μB per atom

abc: 6.2735 6.2735 6.2735
angles: 90.00 90.00 90.00
Element x y z (fractional)
Te: 0.0000 0.5000 0.0000
Te: 0.5000 0.0000 0.0000
V: 0.5000 0.5000 0.5000
Te: 0.0000 0.0000 0.5000
Rb: 0.0000 0.0000 0.0000


[2]
A relaxed structure of Rb5V2Te6. Source: Alexandria via LeMat-Bulk, functional GGA-PBE.

* space-group type: C2/c
* formation energy without anion corrections: -0.7554 eV/atom
* calculated density: 3.65 g cm⁻³
* volume: 1180 Å³ per cell
* electronic total energy: -3.9804 eV/atom
* N(E_F): 2.81 states/eV/f.u.
* total moment: 0.076 μB per atom

abc: 8.4621 8.4621 18.6839
angles: 79.09 79.09 64.79
Element x y z (fractional)
Rb: 0.3793 0.6207 0.7500
V: 0.6123 0.9261 0.4365
Rb: 0.3216 0.8051 0.0011
Te: 0.2204 0.3345 0.9304
Rb: 0.6207 0.3793 0.2500
Te: 0.2960 0.4166 0.1330
Rb: 0.9297 0.7490 0.2279
Rb: 0.1949 0.6784 0.4989
Te: 0.9969 0.8762 0.8759
Te: 0.6655 0.7796 0.5696
Te: 0.5834 0.7040 0.3670
V: 0.0739 0.3877 0.0635
Te: 0.0031 0.1238 0.1241
V: 0.3877 0.0739 0.5635
Rb: 0.2510 0.0703 0.2721
Te: 0.7796 0.6655 0.0696
Rb: 0.8051 0.3216 0.5011
Rb: 0.0703 0.2510 0.7721
V: 0.9261 0.6123 0.9365
Te: 0.1238 0.0031 0.6241
Te: 0.8762 0.9969 0.3759
Te: 0.7040 0.5834 0.8670
Te: 0.4166 0.2960 0.6330
Rb: 0.6784 0.1949 0.9989
Rb: 0.7490 0.9297 0.7279
Te: 0.3345 0.2204 0.4304


[3]
A relaxed structure of RbVTe3. Source: Alexandria via LeMat-Bulk, functional GGA-PBE.

* space-group type: C2/m
* formation energy without anion corrections: -0.4297 eV/atom
* relative energy among the computed polymorphs: 0.31 eV/f.u.
* calculated density: 4.99 g cm⁻³
* volume: 346 Å³ per cell
* electronic total energy: -4.3319 eV/atom
* N(E_F): 1.29 states/eV/f.u.
* total moment: 0.013 μB per atom

abc: 7.6788 7.5382 7.4245
angles: 107.03 121.14 90.00
Element x y z (fractional)
Te: 0.0640 0.2464 0.1279
V: 0.1707 0.0154 0.3414
Te: 0.5654 0.2045 0.6956
V: 0.8293 0.9846 0.6586
Te: 0.4346 0.7955 0.3044
Rb: 0.6350 0.3224 0.2700
Rb: 0.3650 0.6776 0.7300
Te: 0.8698 0.7955 0.3044
Te: 0.9360 0.7536 0.8721
Te: 0.1302 0.2045 0.6956


[4]
A relaxed structure of Rb3V5Te12. Source: Alexandria via LeMat-Bulk, functional GGA-PBE.

* space-group type: Ia-3d
* formation energy without anion corrections: -0.3021 eV/atom
* calculated density: 4.88 g cm⁻³
* volume: 2782 Å³ per cell
* electronic total energy: -4.6119 eV/atom
* N(E_F): 10.86 states/eV/f.u.
* total moment: 0.199 μB per atom

abc: 15.3455 15.3455 15.3455
angles: 109.47 109.47 109.47
Element x y z (fractional)
V: 0.0000 0.5000 0.0000
Rb: 0.7500 0.8750 0.6250
Te: 0.5938 0.9977 0.6883
Rb: 0.1250 0.8750 0.7500
Te: 0.6883 0.1906 0.5945
V: 0.7500 0.6250 0.3750
V: 0.3750 0.2500 0.1250
V: 0.7500 0.1250 0.8750
Te: 0.1883 0.0938 0.9977
Te: 0.5023 0.3117 0.9062
V: 0.5000 0.5000 0.5000
Te: 0.0938 0.9055 0.0961
Te: 0.6883 0.4977 0.5938
Te: 0.0938 0.1883 0.4977
Te: 0.4062 0.0023 0.3117
Te: 0.0961 0.4055 0.0938
Rb: 0.1250 0.2500 0.8750
V: 0.8750 0.2500 0.6250
Te: 0.9055 0.8117 0.8094
Te: 0.8117 0.9055 0.3094
Te: 0.5961 0.5938 0.9055
Te: 0.4062 0.4039 0.5945
V: 0.5000 0.5000 0.0000
Te: 0.9977 0.4039 0.3094
Te: 0.4977 0.8094 0.9039
V: 0.3750 0.1250 0.7500
Te: 0.8117 0.9062 0.0023
Te: 0.9977 0.5938 0.1883
Te: 0.0945 0.9062 0.4039
Te: 0.4977 0.6883 0.0938
Rb: 0.3750 0.6250 0.2500
Te: 0.9039 0.3094 0.4977
Rb: 0.6250 0.3750 0.7500
Te: 0.5945 0.6906 0.6883
Te: 0.1906 0.6883 0.0945
Te: 0.0945 0.1883 0.1906
V: 0.0000 0.5000 0.5000
V: 0.0000 0.0000 0.0000
V: 0.6250 0.8750 0.2500
V: 0.1250 0.7500 0.3750
Rb: 0.8750 0.7500 0.1250
Te: 0.3094 0.4055 0.8117
Te: 0.5938 0.5961 0.4055
Te: 0.0023 0.5961 0.6906
Te: 0.3094 0.9039 0.9977
Te: 0.6906 0.0961 0.0023
Te: 0.3117 0.8094 0.4055
V: 0.1250 0.3750 0.2500
Te: 0.5945 0.9039 0.4062
Te: 0.9062 0.8117 0.5023
Te: 0.8094 0.3117 0.9055
Te: 0.5961 0.0023 0.1906
Te: 0.4039 0.4062 0.0945
Rb: 0.3750 0.7500 0.6250
Te: 0.8094 0.4977 0.4039
Te: 0.0961 0.6906 0.5023
V: 0.0000 0.0000 0.5000
Te: 0.4039 0.9977 0.8094
Rb: 0.6250 0.2500 0.3750
Te: 0.3117 0.5023 0.4062
V: 0.6250 0.7500 0.8750
Rb: 0.2500 0.1250 0.3750
V: 0.5000 0.0000 0.5000
V: 0.2500 0.3750 0.6250
V: 0.5000 0.0000 0.0000
Te: 0.0023 0.4062 0.8117
V: 0.8750 0.6250 0.7500
Te: 0.5023 0.1906 0.0961
Te: 0.9039 0.5945 0.9062
Rb: 0.8750 0.1250 0.2500
V: 0.2500 0.8750 0.1250
Te: 0.9062 0.0945 0.9039
Te: 0.4055 0.0961 0.5938
Rb: 0.2500 0.6250 0.8750
Te: 0.1906 0.5023 0.5961
Te: 0.9055 0.0938 0.5961
Te: 0.1883 0.0945 0.6906
Te: 0.4055 0.3094 0.3117
Te: 0.6906 0.5945 0.1883
Rb: 0.7500 0.3750 0.1250